[1]
## Li2Sc2AlInAg2 (PBE)

Data for crystalline Li2Sc2AlInAg2 at its relaxed geometry.

Results
The density comes out at 5.36 g/cm³. The total energy is -3.92 eV per atom. The value obtained for the total moment is 0.0 μB/f.u.

```
8
Lattice="4.654 0.000 0.000 0.000 4.654 0.000 0.000 0.000 6.597" Properties=species:S:1:pos:R:3 pbc="T T T"
Ag 0.000 2.327 1.553
Ag 2.327 0.000 5.044
Sc 2.327 2.327 0.000
Sc 0.000 0.000 3.298
Li 2.327 0.000 1.601
Li 0.000 2.327 4.996
In 2.327 2.327 3.298
Al 0.000 0.000 0.000
```

---

[2]
## PuNbPd (PBE)

Data for crystalline PuNbPd at its relaxed geometry.

Results
The value obtained for the energy above the lowest structure with this stoichiometry is 0 meV/atom. The density comes out at 12.00 g/cm³. The total energy is -9.46 eV per atom. The value obtained for the total moment is 5.0 μB/f.u.

```
3
Lattice="0.000 3.130 3.130 3.130 0.000 3.130 3.130 3.130 0.000" Properties=species:S:1:pos:R:3 pbc="T T T"
Nb 0.000 0.000 0.000
Pu 4.696 4.696 4.696
Pd 1.565 1.565 1.565
```

---

Among the records above, which one has the highest total moment?
PuNbPd